# LaPr6Y3Er2 | Alexandria | GGA-PBE | optimized geometry
# E_tot = -61.952 eV/cell
# Energy of formation = 0.17 eV/f.u.
data_LaPr6Y3Er2
_cell_length_a 6.336
_cell_length_b 6.336
_cell_length_c 11.993
_cell_angle_alpha 95.05
_cell_angle_beta 95.05
_cell_angle_gamma 120.01
_symmetry_space_group_name_H-M 'P 1'
_symmetry_Int_Tables_number 1
loop_
_symmetry_equiv_pos_as_xyz
'x,y,z'
loop_
_atom_site_label
_atom_site_type_symbol
_atom_site_fract_x
_atom_site_fract_y
_atom_site_fract_z
La1 La 0.000 0.000 0.000
Pr1 Pr 0.916 0.582 0.749
Pr2 Pr 0.750 0.750 0.251
Pr3 Pr 0.084 0.418 0.251
Pr4 Pr 0.582 0.916 0.749
Pr5 Pr 0.250 0.250 0.749
Pr6 Pr 0.418 0.084 0.251
Y1 Y 0.167 0.833 0.500
Y2 Y 0.833 0.167 0.500
Y3 Y 0.500 0.500 0.500
Er1 Er 0.333 0.667 0.000
Er2 Er 0.667 0.333 0.000